# 1
Density functional theory data (PBE-GGA) for an optimized crystal structure of Tb6Hg2Pd.

Summary:
DFT formation energy = -0.306 eV per atom
calculated volume = 530.8 Å³/cell
magnetization = 0.01 μB per formula unit
Fermi-level density of states = 9.26 states/eV/f.u.
E = -72.7 eV/cell

Unit cell a=6.854 b=7.440 c=12.160 alpha=90.00 beta=121.13 gamma=90.00
Element x y z (fractional)
Tb 0.117 0.204 0.445
Tb 0.117 0.296 0.945
Tb 0.264 0.677 0.442
Tb 0.264 0.823 0.942
Tb 0.371 0.020 0.240
Tb 0.371 0.480 0.740
Tb 0.629 0.520 0.260
Tb 0.629 0.980 0.760
Tb 0.736 0.177 0.058
Tb 0.736 0.323 0.558
Tb 0.883 0.704 0.055
Tb 0.883 0.796 0.555
Hg 0.181 0.099 0.735
Hg 0.181 0.401 0.235
Hg 0.819 0.599 0.765
Hg 0.819 0.901 0.265
Pd 0.500 0.000 0.500
Pd 0.500 0.500 0.000

=====

# 2
Density functional theory data (PBE-GGA) for an optimized crystal structure of TbHg2Pd3.

Summary:
distance to the lowest polymorph of the same formula = 0.000 eV per formula unit
DFT formation energy = -0.483 eV per atom
calculated volume = 230.5 Å³/cell
magnetization = 0.00 μB per formula unit
Fermi-level density of states = 2.96 states/eV/f.u.
E = -47.4 eV/cell

Unit cell a=7.799 b=7.799 c=6.304 alpha=90.00 beta=90.00 gamma=143.05
Element x y z (fractional)
Tb 0.158 0.842 0.000
Tb 0.842 0.158 0.000
Hg 0.170 0.830 0.500
Hg 0.500 0.500 0.000
Hg 0.500 0.500 0.500
Hg 0.830 0.170 0.500
Pd 0.000 0.000 0.270
Pd 0.000 0.000 0.730
Pd 0.331 0.669 0.248
Pd 0.331 0.669 0.752
Pd 0.669 0.331 0.248
Pd 0.669 0.331 0.752

=====

# 3
Density functional theory data (PBE-GGA) for an optimized crystal structure of Tb3Hg2Pd4.

Summary:
DFT formation energy = -0.682 eV per atom
calculated volume = 197.7 Å³/cell
magnetization = 0.00 μB per formula unit
Fermi-level density of states = 3.81 states/eV/f.u.
E = -41.4 eV/cell

Unit cell a=5.333 b=5.333 c=9.311 alpha=90.72 beta=90.72 gamma=48.31
Element x y z (fractional)
Tb 0.000 0.000 0.000
Tb 0.367 0.367 0.383
Tb 0.633 0.633 0.617
Hg 0.337 0.337 0.782
Hg 0.663 0.663 0.218
Pd 0.074 0.074 0.380
Pd 0.300 0.300 0.085
Pd 0.700 0.700 0.915
Pd 0.926 0.926 0.620

=====

# 4
Density functional theory data (PBE-GGA) for an optimized crystal structure of TbHg2Pd3.

Summary:
distance to the lowest polymorph of the same formula = 0.134 eV per formula unit
DFT formation energy = -0.461 eV per atom
calculated volume = 239.0 Å³/cell
magnetization = 0.00 μB per formula unit
Fermi-level density of states = 1.92 states/eV/f.u.
E = -47.2 eV/cell

Unit cell a=4.446 b=8.633 c=6.227 alpha=90.00 beta=90.00 gamma=90.00
Element x y z (fractional)
Tb 0.000 0.128 0.000
Tb 0.000 0.872 0.500
Hg 0.000 0.246 0.520
Hg 0.000 0.754 0.020
Hg 0.500 0.420 0.862
Hg 0.500 0.580 0.362
Pd 0.000 0.445 0.147
Pd 0.000 0.555 0.647
Pd 0.500 0.072 0.670
Pd 0.500 0.245 0.253
Pd 0.500 0.755 0.753
Pd 0.500 0.928 0.170

=====

# 5
Density functional theory data (PBE-GGA) for an optimized crystal structure of Tb3Hg2Pd8.

Summary:
DFT formation energy = -0.504 eV per atom
calculated volume = 260.1 Å³/cell
magnetization = 0.00 μB per formula unit
Fermi-level density of states = 4.37 states/eV/f.u.
E = -62.6 eV/cell

Unit cell a=10.776 b=10.776 c=10.776 alpha=28.99 beta=28.99 gamma=28.99
Element x y z (fractional)
Tb 0.000 0.000 0.000
Tb 0.189 0.189 0.189
Tb 0.811 0.811 0.811
Hg 0.364 0.364 0.364
Hg 0.636 0.636 0.636
Pd 0.226 0.730 0.730
Pd 0.270 0.270 0.774
Pd 0.270 0.774 0.270
Pd 0.278 0.278 0.278
Pd 0.722 0.722 0.722
Pd 0.730 0.226 0.730
Pd 0.730 0.730 0.226
Pd 0.774 0.270 0.270

=====

# 6
Density functional theory data (PBE-GGA) for an optimized crystal structure of Tb5Hg4Pd.

Summary:
DFT formation energy = -0.557 eV per atom
calculated volume = 251.6 Å³/cell
magnetization = 0.31 μB per formula unit
Fermi-level density of states = 9.02 states/eV/f.u.
E = -35.1 eV/cell

Unit cell a=3.683 b=3.683 c=18.550 alpha=90.00 beta=90.00 gamma=90.00
Element x y z (fractional)
Tb 0.000 0.000 0.000
Tb 0.000 0.000 0.206
Tb 0.000 0.000 0.410
Tb 0.000 0.000 0.590
Tb 0.000 0.000 0.794
Hg 0.500 0.500 0.103
Hg 0.500 0.500 0.306
Hg 0.500 0.500 0.694
Hg 0.500 0.500 0.897
Pd 0.500 0.500 0.500

=====

# 7
Density functional theory data (PBE-GGA) for an optimized crystal structure of Tb5Hg2Pd.

Summary:
DFT formation energy = -0.455 eV per atom
calculated volume = 429.4 Å³/cell
magnetization = 0.00 μB per formula unit
Fermi-level density of states = 6.76 states/eV/f.u.
E = -65.2 eV/cell

Unit cell a=6.954 b=12.354 c=4.998 alpha=90.00 beta=90.00 gamma=90.00
Element x y z (fractional)
Tb 0.000 0.000 0.000
Tb 0.139 0.287 0.000
Tb 0.173 0.592 0.500
Tb 0.327 0.092 0.500
Tb 0.361 0.787 0.000
Tb 0.500 0.500 0.000
Tb 0.639 0.213 0.000
Tb 0.673 0.908 0.500
Tb 0.827 0.408 0.500
Tb 0.861 0.713 0.000
Hg 0.097 0.843 0.500
Hg 0.403 0.343 0.500
Hg 0.597 0.657 0.500
Hg 0.903 0.157 0.500
Pd 0.000 0.500 0.000
Pd 0.500 0.000 0.000

=====

# 8
Density functional theory data (PBE-GGA) for an optimized crystal structure of Tb3HgPd.

Summary:
DFT formation energy = -0.400 eV per atom
calculated volume = 286.8 Å³/cell
magnetization = 0.00 μB per formula unit
Fermi-level density of states = 4.59 states/eV/f.u.
E = -42.8 eV/cell

Unit cell a=8.947 b=8.947 c=3.890 alpha=90.00 beta=90.00 gamma=112.94
Element x y z (fractional)
Tb 0.166 0.834 0.000
Tb 0.190 0.423 0.500
Tb 0.423 0.190 0.500
Tb 0.577 0.810 0.500
Tb 0.810 0.577 0.500
Tb 0.834 0.166 0.000
Hg 0.000 0.000 0.500
Hg 0.500 0.500 0.000
Pd 0.000 0.500 0.000
Pd 0.500 0.000 0.000

=====

# 9
Density functional theory data (PBE-GGA) for an optimized crystal structure of TbHg2Pd.

Summary:
DFT formation energy = -0.403 eV per atom
calculated volume = 89.0 Å³/cell
magnetization = 0.00 μB per formula unit
Fermi-level density of states = 1.99 states/eV/f.u.
E = -12.0 eV/cell

Unit cell a=4.320 b=4.320 c=4.767 alpha=90.00 beta=90.00 gamma=90.00
Element x y z (fractional)
Tb 0.000 0.000 0.000
Hg 0.000 0.500 0.500
Hg 0.500 0.000 0.500
Pd 0.500 0.500 0.000

=====

# 10
Density functional theory data (PBE-GGA) for an optimized crystal structure of Tb12HgPd6.

Summary:
distance to the lowest polymorph of the same formula = 0.000 eV per formula unit
DFT formation energy = -0.596 eV per atom
calculated volume = 495.7 Å³/cell
magnetization = 0.00 μB per formula unit
Fermi-level density of states = 18.92 states/eV/f.u.
E = -98.3 eV/cell

Unit cell a=8.636 b=8.636 c=8.636 alpha=109.47 beta=109.47 gamma=109.47
Element x y z (fractional)
Tb 0.113 0.296 0.817
Tb 0.183 0.479 0.296
Tb 0.183 0.887 0.704
Tb 0.296 0.183 0.479
Tb 0.296 0.817 0.113
Tb 0.479 0.296 0.183
Tb 0.521 0.704 0.817
Tb 0.704 0.183 0.887
Tb 0.704 0.817 0.521
Tb 0.817 0.113 0.296
Tb 0.817 0.521 0.704
Tb 0.887 0.704 0.183
Hg 0.000 0.000 0.000
Pd 0.137 0.500 0.637
Pd 0.363 0.863 0.500
Pd 0.500 0.363 0.863
Pd 0.500 0.637 0.137
Pd 0.637 0.137 0.500
Pd 0.863 0.500 0.363

=====

# 11
Density functional theory data (PBE-GGA) for an optimized crystal structure of Tb2Hg3Pd4.

Summary:
distance to the lowest polymorph of the same formula = 0.000 eV per formula unit
DFT formation energy = -0.592 eV per atom
calculated volume = 178.0 Å³/cell
magnetization = 0.00 μB per formula unit
Fermi-level density of states = 3.16 states/eV/f.u.
E = -36.3 eV/cell

Unit cell a=4.445 b=5.041 c=9.030 alpha=100.36 beta=90.01 gamma=116.12
Element x y z (fractional)
Tb 0.171 0.342 0.219
Tb 0.829 0.658 0.781
Hg 0.160 0.321 0.570
Hg 0.500 0.000 0.000
Hg 0.840 0.679 0.430
Pd 0.165 0.330 0.895
Pd 0.491 0.984 0.667
Pd 0.509 0.016 0.333
Pd 0.835 0.670 0.105

=====

# 12
Density functional theory data (PBE-GGA) for an optimized crystal structure of Tb8Hg2Pd.

Summary:
distance to the lowest polymorph of the same formula = 1.139 eV per formula unit
DFT formation energy = -0.200 eV per atom
calculated volume = 307.2 Å³/cell
magnetization = 0.00 μB per formula unit
Fermi-level density of states = 13.55 states/eV/f.u.
E = -45.0 eV/cell

Unit cell a=8.687 b=8.687 c=8.687 alpha=146.39 beta=120.77 gamma=69.86
Element x y z (fractional)
Tb 0.121 0.341 0.780
Tb 0.123 0.123 0.000
Tb 0.326 0.000 0.326
Tb 0.438 0.659 0.780
Tb 0.562 0.341 0.220
Tb 0.674 0.000 0.674
Tb 0.877 0.877 0.000
Tb 0.879 0.659 0.220
Hg 0.297 0.797 0.500
Hg 0.703 0.203 0.500
Pd 0.000 0.500 0.500

=====

Which formula does entry 6 have? Tb5Hg4Pd

=====

What is the E in the first record? -72.7 eV/cell

=====

What is the calculated volume in the eighth record? 286.8 Å³/cell